Compound: SrHg4
Source: Alexandria
Functional: PBE
Structure: optimized geometry

Unit cell a=6.565 b=6.565 c=6.565 alpha=90.00 beta=90.00 gamma=90.00
Fractional coordinates of all 5 atoms:
Sr (0.500, 0.500, 0.500)
Hg (0.000, 0.000, 0.000)
Hg (0.500, 0.500, 0.000)
Hg (0.000, 0.500, 0.500)
Hg (0.500, 0.000, 0.500)

Summary:
For the total DFT energy (no corrections), the calculation gives -2.26 eV per formula unit. For the density of states at the Fermi level, the calculation gives 3.911 states/eV per cell. Its space group is Pm-3m (221). The excess energy over the best structure of this formula in the dataset comes out at 0.459 eV/atom. The formation energy is 12 kJ/mol of atoms.